(i)
## CrSb3Se (PBE-GGA)

Data for a geometry-optimized CrSb3Se structure.

Unit cell a=5.334 b=5.334 c=5.334 alpha=90.00 beta=90.00 gamma=90.00
Fractional positions:
Cr 0.000 0.000 0.000
Sb 0.000 0.500 0.500
Sb 0.500 0.000 0.500
Sb 0.500 0.500 0.000
Se 0.500 0.500 0.500

***

(ii)
## CrSb3Se (PBE-GGA)

Data for a geometry-optimized CrSb3Se structure.

Unit cell a=4.967 b=4.967 c=4.967 alpha=90.00 beta=90.00 gamma=90.00
Fractional positions:
Cr 0.000 0.000 0.000
Sb 0.000 0.000 0.500
Sb 0.000 0.500 0.000
Sb 0.500 0.000 0.000
Se 0.500 0.500 0.500

***

Relative to the most stable one, in kJ/mol of atoms, the structures come out at (i) 105.8; (ii) 0.0.